# GGA-PBE CsInRu3, optimized geometry
# Density ... 7.04 g cm⁻³
# Calculated formation energy ... 1.88 eV per atom
# Total magnetic moment ... 1.07 μB per atom
data_CsInRu3
_chemical_formula_sum 'Cs1 In1 Ru3'
_cell_length_a 5.066
_cell_length_b 5.066
_cell_length_c 5.066
_cell_angle_alpha 90.00
_cell_angle_beta 90.00
_cell_angle_gamma 90.00
_space_group_name_H-M_alt 'P m -3 m'
_space_group_IT_number 221
_space_group_name_Hall '-P 4 2 3'
loop_
_atom_site_label
_atom_site_type_symbol
_atom_site_fract_x
_atom_site_fract_y
_atom_site_fract_z
Cs1 Cs 0.000 0.000 0.000
In1 In 0.500 0.500 0.500
Ru1 Ru 0.000 0.500 0.500